A plane-wave DFT calculation with PBE-GGA was carried out for SrCu after structural relaxation.

Cell lengths 11.0492, 11.0492, 4.3118 Å; angles 90.00, 90.00, 90.00 degrees
Fractional coordinates of all 16 atoms:
1 Sr 0.7645 0.5000 0.0000
2 Sr 0.2355 0.5000 0.0000
3 Sr 0.5000 0.2355 0.0000
4 Sr 0.5000 0.7645 0.0000
5 Sr 0.2645 0.0000 0.5000
6 Sr 0.7355 0.0000 0.5000
7 Sr 0.0000 0.7355 0.5000
8 Sr 0.0000 0.2645 0.5000
9 Cu 0.2151 0.2151 0.0000
10 Cu 0.2151 0.7849 0.0000
11 Cu 0.7849 0.2151 0.0000
12 Cu 0.7849 0.7849 0.0000
13 Cu 0.7151 0.7151 0.5000
14 Cu 0.7151 0.2849 0.5000
15 Cu 0.2849 0.7151 0.5000
16 Cu 0.2849 0.2849 0.5000

Calculated values
- M_tot (Bohr magnetons per cell) = 0.00
- crystal system = tetragonal
- calculated formation energy (kJ/mol of formula units) = -5
- ρ (Mg/m³) = 3.8
- volume (Å³/f.u.) = 66
- density of states at the Fermi level (states/eV/cell) = 6.18